SmCuSn (GGA-PBEsol, relaxed); energy of formation = -58 kJ/mol of atoms; V = 131.6 Å³ per cell; size of the total moment = 0.00 μB per cell; space-group type = P6_3/mmc; Fermi-level density of states = 1.7 states/eV per cell
1.0
-3.937 2.036 -0.672
0.371 -3.183 3.135
1.845 5.255 5.116
Cu Sm Sn
2 2 2
Cartesian
-0.604 -0.130 3.145
-1.117 4.238 4.435
0.922 2.627 2.558
0.000 0.000 0.000
0.319 2.498 5.704
-2.040 1.610 1.876


V3W2O12 (GGA-PBEsol, relaxed); V = 1083.2 Å³ per cell; size of the total moment = 0.00 μB per cell; space-group type = Pbcn; uncorrected formation energy = -3675 kJ/mol of formula units; Fermi-level density of states = 35.8 states/eV per cell
1.0
9.143 0.000 -0.009
0.000 9.231 0.000
0.011 0.000 12.834
O W V
48 8 12
Cartesian
5.272 3.874 8.206
3.881 5.357 4.620
5.329 1.390 11.769
6.272 4.685 3.286
7.448 0.070 3.118
7.872 3.376 7.322
7.773 2.712 2.031
7.482 4.082 12.501
1.700 4.684 3.123
7.872 1.238 5.499
5.848 5.854 0.905
8.397 7.840 5.349
1.375 7.326 2.036
8.458 8.490 11.033
7.453 4.547 9.703
6.277 9.162 9.536
3.305 3.377 11.921
8.401 6.005 7.470
3.831 6.007 11.770
3.824 7.841 1.057
1.706 9.161 9.708
3.296 1.239 0.909
1.282 7.993 7.327
0.752 3.226 5.356
6.248 8.698 6.737
0.756 1.391 7.477
1.380 6.519 10.795
5.946 7.327 4.373
0.703 3.872 11.039
1.281 5.855 5.504
2.904 4.081 6.741
5.322 3.224 1.055
2.876 0.069 3.290
2.882 4.546 9.540
7.471 0.534 0.319
1.683 8.697 12.506
8.450 5.359 1.787
6.249 5.150 6.085
5.270 0.743 4.617
3.884 8.488 8.208
5.952 6.520 8.449
1.671 5.149 0.324
0.696 0.741 1.793
2.906 0.533 6.089
3.201 2.711 4.377
7.778 1.905 10.789
3.207 1.904 8.453
5.858 7.992 11.917
6.861 0.274 11.319
2.285 4.342 4.906
2.300 4.889 11.323
6.869 4.889 7.920
2.288 0.274 7.924
6.866 8.957 4.902
2.292 8.957 1.507
6.854 4.342 1.503
8.124 1.028 1.824
8.131 3.588 10.995
5.599 8.203 8.243
1.030 8.203 11.002
1.022 5.644 1.830
4.840 6.923 12.830
8.891 2.308 6.409
4.314 2.308 -0.004
3.557 3.587 8.245
3.554 1.028 4.583
5.596 5.644 4.580
0.263 6.923 6.417


OsO2 (GGA-PBEsol, relaxed); V = 63.7 Å³ per cell; size of the total moment = 0.00 μB per cell; space-group type = P4_2/mnm; uncorrected formation energy = -261 kJ/mol of formula units; Fermi-level density of states = 3.5 states/eV per cell
1.0
-0.290 2.368 -2.125
-3.199 1.855 2.505
3.090 2.355 2.203
Os O
2 4
Cartesian
0.000 0.000 0.000
-0.199 3.289 1.291
-0.075 2.909 3.253
-2.142 3.135 1.384
1.744 3.443 1.198
-0.033 1.301 1.454


Ta2FeTe (GGA-PBEsol, relaxed); V = 67.2 Å³ per cell; size of the total moment = 1.91 μB per cell; space-group type = Cmmm; uncorrected formation energy = 99 kJ/mol of formula units; Fermi-level density of states = 2.7 states/eV per cell
1.0
-2.481 2.080 -0.046
-0.396 -0.372 4.587
2.954 3.511 -0.525
Fe Ta Te
1 2 1
Cartesian
0.039 2.610 2.008
-0.198 -0.186 2.293
1.477 1.756 -0.263
-1.240 1.040 -0.023


Which value of V does entry 4 give? 67.2 Å³ per cell